This record from the Alexandria database describes an optimized crystal structure of NaSr3H. The functional is PBEsol.

POSCAR file:
```
NaSr3H
1.0
6.480 0.000 0.000
0.000 6.480 0.000
0.000 0.000 6.480
Sr Na H
3 1 1
Direct
0.000 0.500 0.000
0.000 0.000 0.500
0.500 0.000 0.000
0.000 0.000 0.000
0.500 0.500 0.500
```

Its space-group type is No. 221. As for the density of states at the Fermi level: 3.3 states/eV per cell. The total energy is -6.5 eV for the cell shown. The energy above the lowest structure with this stoichiometry comes out at 846.2 meV/atom.



This record from the Alexandria database describes an optimized crystal structure of LiIn2Tc. The functional is PBEsol.

POSCAR file:
```
LiIn2Tc
1.0
-0.595 4.105 -1.937
-0.949 0.307 -4.468
-4.170 1.302 -1.371
In Tc Li
2 1 1
Direct
0.750 0.750 0.750
0.250 0.250 0.250
0.500 0.500 0.500
0.000 0.000 0.000
```

The formation energy from the elements comes out at 0.19 eV per formula unit. Its space-group type is No. 225. As for the density of states at the Fermi level: 1.8 states/eV per cell. The total energy is -19.0 eV for the cell shown. The energy above the lowest structure with this stoichiometry comes out at 0.0 meV/atom.



This record from the Alexandria database describes an optimized crystal structure of Rb3NCl. The functional is PBEsol.

POSCAR file:
```
Rb3NCl
1.0
5.533 0.000 0.000
0.000 5.533 0.000
0.000 0.000 5.533
N Rb Cl
1 3 1
Direct
0.000 0.000 0.000
0.500 0.000 0.000
0.000 0.000 0.500
0.000 0.500 0.000
0.500 0.500 0.500
```

Its space-group type is No. 221. As for the density of states at the Fermi level: 1.7 states/eV per cell. Its formation energy without anion corrections is -0.32 eV/atom. The total energy is -15.2 eV for the cell shown.



This record from the Alexandria database describes an optimized crystal structure of CdFeTe2. The functional is PBEsol.

POSCAR file:
```
CdFeTe2
1.0
3.692 0.000 0.000
0.000 4.950 0.010
0.000 -0.972 4.853
Te Fe Cd
2 1 1
Direct
0.000 0.500 0.000
0.000 0.000 0.500
0.500 0.500 0.500
0.500 0.000 0.000
```

Its space-group type is No. 65. As for the density of states at the Fermi level: 3.8 states/eV per cell. Its formation energy without anion corrections is 0.48 eV/atom. The total energy is -15.3 eV for the cell shown.



This record from the Alexandria database describes an optimized crystal structure of YNiMo3. The functional is PBEsol.

POSCAR file:
```
YNiMo3
1.0
4.543 0.000 0.000
0.000 4.543 0.000
0.000 0.000 4.543
Mo Ni Y
3 1 1
Direct
0.000 0.000 0.500
0.000 0.500 0.000
0.500 0.000 0.000
0.000 0.000 0.000
0.500 0.500 0.500
```

The formation energy from the elements comes out at 5.33 eV per formula unit. Its space-group type is No. 221. As for the density of states at the Fermi level: 7.2 states/eV per cell. The total energy is -43.0 eV for the cell shown. The energy above the lowest structure with this stoichiometry comes out at 0.0 meV/atom.



This record from the Alexandria database describes an optimized crystal structure of SrCrBO2. The functional is PBEsol.

POSCAR file:
```
SrCrBO2
1.0
3.663 0.000 0.000
0.000 3.663 0.000
0.000 0.000 6.563
Sr Cr O B
1 1 2 1
Direct
0.000 0.000 0.500
0.000 0.000 0.000
0.500 0.000 0.000
0.000 0.500 0.000
0.500 0.500 0.500
```

Its space-group type is No. 123. As for the density of states at the Fermi level: 3.7 states/eV per cell. Its formation energy without anion corrections is -0.02 eV/atom. The total energy is -29.7 eV for the cell shown.



This record from the Alexandria database describes an optimized crystal structure of TcPtS3. The functional is PBEsol.

POSCAR file:
```
TcPtS3
1.0
4.623 0.000 0.000
0.000 4.623 0.000
0.000 0.000 4.623
S Pt Tc
3 1 1
Direct
0.500 0.000 0.000
0.000 0.000 0.500
0.000 0.500 0.000
0.000 0.000 0.000
0.500 0.500 0.500
```

Its space-group type is No. 221. As for the density of states at the Fermi level: 3.7 states/eV per cell. Its formation energy without anion corrections is 1.04 eV/atom. The total energy is -26.2 eV for the cell shown.



This record from the Alexandria database describes an optimized crystal structure of TaMn2Fe. The functional is PBEsol.

POSCAR file:
```
TaMn2Fe
1.0
2.604 0.086 0.000
-0.092 2.604 0.000
0.000 0.000 7.234
Mn Fe Ta
2 1 1
Direct
0.000 0.000 0.213
0.000 0.000 0.787
0.500 0.500 0.000
0.500 0.500 0.500
```

The formation energy from the elements comes out at 0.68 eV per formula unit. Its space-group type is No. 65. As for the density of states at the Fermi level: 4.6 states/eV per cell. The total energy is -40.4 eV for the cell shown.



This record from the Alexandria database describes an optimized crystal structure of CoTcP2S. The functional is PBEsol.

POSCAR file:
```
CoTcP2S
1.0
-0.850 -3.646 1.815
2.792 0.828 2.971
-3.091 1.903 2.375
S Tc Co P
1 1 1 2
Direct
0.000 0.000 0.500
0.500 0.500 0.500
0.000 0.000 0.000
0.500 0.000 0.000
0.000 0.500 0.000
```

Its space-group type is No. 123. As for the density of states at the Fermi level: 3.9 states/eV per cell. Its formation energy without anion corrections is 0.76 eV/atom. The total energy is -31.2 eV for the cell shown.



This record from the Alexandria database describes an optimized crystal structure of AuCSe3. The functional is PBEsol.

POSCAR file:
```
AuCSe3
1.0
4.363 0.000 0.000
0.000 4.363 0.000
0.000 0.000 4.363
Au Se C
1 3 1
Direct
0.500 0.500 0.500
0.000 0.500 0.000
0.500 0.000 0.000
0.000 0.000 0.500
0.000 0.000 0.000
```

Its space-group type is No. 221. As for the density of states at the Fermi level: 3.7 states/eV per cell. Its formation energy without anion corrections is 1.13 eV/atom. The total energy is -19.5 eV for the cell shown.



This record from the Alexandria database describes an optimized crystal structure of BeInSn3. The functional is PBEsol.

POSCAR file:
```
BeInSn3
1.0
-1.378 -4.995 -1.840
0.344 -1.980 5.118
-5.312 1.167 0.808
Sn In Be
3 1 1
Direct
0.000 0.500 0.000
0.000 0.000 0.500
0.500 0.000 0.000
0.000 0.000 0.000
0.500 0.500 0.500
```

The formation energy from the elements comes out at 5.86 eV per formula unit. Its space-group type is No. 221. As for the density of states at the Fermi level: 3.2 states/eV per cell. The total energy is -13.9 eV for the cell shown.



This record from the Alexandria database describes an optimized crystal structure of La2BiO5. The functional is PBEsol.

POSCAR file:
```
La2BiO5
1.0
-3.073 -4.527 1.157
3.906 -3.570 -1.976
5.431 -2.201 6.677
O La Bi
10 4 2
Direct
0.757 0.495 0.505
0.258 0.300 0.904
0.268 0.589 0.164
0.244 0.998 0.505
0.742 0.977 0.522
0.742 0.797 0.903
0.739 0.338 0.842
0.259 0.500 0.522
0.260 0.821 0.841
0.731 0.250 0.164
0.001 0.318 0.363
0.000 0.656 0.687
0.999 0.995 0.010
0.500 0.158 0.684
0.500 0.506 0.989
0.501 0.802 0.394
```

Its space-group type is No. 1. Its formation energy without anion corrections is -2.53 eV/atom. The total energy is -122.9 eV for the cell shown.